Entry from Alexandria via LeMat-Bulk: a geometry-optimized Ga3CuNi6 structure (PBE).

magnetization	0.00	μB/atom
formation enthalpy at 0 K	-0.1126	eV/atom
electronic total energy	-4.90	eV/atom
energy relative to the lowest polymorph listed for this composition	158	meV/atom
V	245.7	Å³/cell
SG	Cmc2_1 (36)

```
20
Lattice="4.082 -6.749 0.000 4.082 6.749 0.000 0.000 0.000 4.459" Properties=species:S:1:pos:R:3 pbc="T T T"
Ga 4.082 5.335 2.230
Ga 2.709 1.372 3.821
Ga 2.709 -1.372 1.591
Ga 5.454 1.372 3.821
Ga 5.454 -1.372 1.591
Ga 4.082 -5.335 0.000
Cu 4.082 2.925 2.443
Cu 4.082 -2.925 0.213
Ni 2.056 2.848 1.156
Ni 1.307 0.652 1.977
Ni 1.307 -0.652 4.207
Ni 4.082 3.946 0.221
Ni 4.082 0.733 1.451
Ni 2.056 -2.848 3.386
Ni 6.107 2.848 1.156
Ni 4.082 -0.733 3.681
Ni 4.082 -3.946 2.451
Ni 6.857 0.652 1.977
Ni 6.857 -0.652 4.207
Ni 6.107 -2.848 3.386
```

=====

Entry from Alexandria via LeMat-Bulk: a geometry-optimized TbY3Ho4Se8 structure (PBE).

E_form (uncorrected)	-1740	meV/atom
magnetization	0.00	μB/atom
electronic total energy	-6.13	eV/atom
V	382.3	Å³/cell
SG	R-3m (166)

```
16
Lattice="4.072 2.351 6.656 -4.072 2.351 6.656 0.000 -4.702 6.656" Properties=species:S:1:pos:R:3 pbc="T T T"
Tb 0.000 0.000 0.000
Y -2.036 -1.175 6.656
Y -2.036 1.175 13.312
Y 0.000 2.351 6.656
Ho -4.072 0.000 9.984
Ho -2.036 1.175 3.328
Ho 2.036 1.175 3.328
Ho 0.000 0.000 9.984
Se 0.000 0.000 4.971
Se -2.034 -1.175 11.625
Se 0.000 -2.349 8.343
Se -2.034 1.175 8.343
Se 2.034 -1.175 11.625
Se 0.000 2.349 11.625
Se 2.034 1.175 8.343
Se 0.000 0.000 14.998
```

=====

Entry from Alexandria via LeMat-Bulk: a geometry-optimized LiLa2W structure (PBE).

magnetization	0.00	μB/atom
formation enthalpy at 0 K	0.6659	eV/atom
electronic total energy	-5.51	eV/atom
energy relative to the lowest polymorph listed for this composition	255	meV/atom
V	98.2	Å³/cell
SG	Cmm2 (35)

```
4
Lattice="1.705 -2.595 0.000 1.705 2.595 0.000 0.000 0.000 11.105" Properties=species:S:1:pos:R:3 pbc="T T T"
Li 0.000 0.000 0.000
La 0.000 0.000 6.551
La 1.705 0.000 3.013
W 1.705 0.000 8.914
```

=====

Entry from Alexandria via LeMat-Bulk: a geometry-optimized SiAsO structure (PBE).

E_form (uncorrected)	-675	meV/atom
magnetization	0.00	μB/atom
electronic total energy	-5.68	eV/atom
energy relative to the lowest polymorph listed for this composition	430	meV/atom
V	48.9	Å³/cell
SG	P3m1 (156)

```
3
Lattice="2.950 0.000 0.000 -1.475 2.555 0.000 0.000 0.000 6.490" Properties=species:S:1:pos:R:3 pbc="T T T"
Si 0.000 0.000 0.000
As 0.000 1.703 4.605
O 1.475 0.852 0.860
```

=====

Entry from Alexandria via LeMat-Bulk: a geometry-optimized Ac3TlTe3 structure (PBE).

E_form (uncorrected)	-1009	meV/atom
magnetization	0.00	μB/atom
electronic total energy	-4.45	eV/atom
V	302.0	Å³/cell
SG	Pm-3m (221)

```
7
Lattice="6.709 0.000 0.000 0.000 6.709 0.000 0.000 0.000 6.709" Properties=species:S:1:pos:R:3 pbc="T T T"
Ac 0.000 0.000 3.355
Ac 0.000 3.355 0.000
Ac 3.355 0.000 0.000
Tl 0.000 0.000 0.000
Te 0.000 3.355 3.355
Te 3.355 0.000 3.355
Te 3.355 3.355 0.000
```

=====

Entry from Alexandria via LeMat-Bulk: a geometry-optimized BaLaRe structure (PBE).

magnetization	0.06	μB/atom
formation enthalpy at 0 K	0.7678	eV/atom
electronic total energy	-5.66	eV/atom
energy relative to the lowest polymorph listed for this composition	137	meV/atom
V	92.3	Å³/cell
SG	P-6m2 (187)

```
3
Lattice="4.829 0.000 0.000 -2.414 4.182 0.000 0.000 0.000 4.572" Properties=species:S:1:pos:R:3 pbc="T T T"
Ba 0.000 0.000 0.000
La 2.414 1.394 2.286
Re 0.000 2.788 2.286
```